Density functional theory data (GGA-PBEsol) for Mg2TeCl after structural relaxation.

Structure (POSCAR):
```
Mg2TeCl
1.0
3.750 0.000 0.000
0.000 3.850 0.000
0.000 0.000 6.821
Mg Te Cl
2 1 1
Direct
0.000 0.000 0.215
0.000 0.000 0.785
0.500 0.500 0.000
0.500 0.000 0.500
```

Properties
E_form (uncorrected) (eV/atom): -0.775
SG: Pmmm
Electronic total energy (eV per atom): -3.02

=====

Density functional theory data (GGA-PBEsol) for MgTeCl after structural relaxation.

Structure (POSCAR):
```
MgTeCl
1.0
0.000 3.419 3.419
3.419 0.000 3.419
3.419 3.419 0.000
Mg Te Cl
1 1 1
Direct
0.000 0.000 0.000
0.500 0.500 0.500
0.250 0.250 0.250
```

Properties
E_form (uncorrected) (eV/atom): -0.032
SG: F-43m
Electronic total energy (eV per atom): -2.45

=====

Density functional theory data (GGA-PBEsol) for Mg2TeCl after structural relaxation.

Structure (POSCAR):
```
Mg2TeCl
1.0
2.075 -3.336 0.000
2.075 3.336 0.000
0.000 0.000 7.549
Mg Te Cl
2 1 1
Direct
0.000 0.000 0.247
0.000 0.000 0.753
0.500 0.500 0.000
0.500 0.500 0.500
```

Properties
E_form (uncorrected) (eV/atom): -0.589
SG: Cmmm
Electronic total energy (eV per atom): -2.83

=====

Density functional theory data (GGA-PBEsol) for MgTeCl4 after structural relaxation.

Structure (POSCAR):
```
MgTeCl4
1.0
0.000 4.057 4.057
4.057 0.000 4.057
4.057 4.057 0.000
Mg Te Cl
1 1 4
Direct
0.000 0.000 0.000
0.750 0.750 0.750
0.375 0.375 0.375
0.375 0.375 0.876
0.375 0.876 0.375
0.876 0.375 0.375
```

Properties
E_form (uncorrected) (eV/atom): 0.236
SG: F-43m
Electronic total energy (eV per atom): -1.98

=====

Density functional theory data (GGA-PBEsol) for MgTiCl2 after structural relaxation.

Structure (POSCAR):
```
MgTiCl2
1.0
1.585 0.915 9.138
-1.585 0.915 9.138
0.000 -1.830 9.138
Mg Ti Cl
1 1 2
Direct
0.000 0.000 0.000
0.500 0.500 0.500
0.107 0.107 0.107
0.893 0.893 0.893
```

Properties
E_form (uncorrected) (eV/atom): -1.012
SG: R-3m
Electronic total energy (eV per atom): -4.53

=====

Density functional theory data (GGA-PBEsol) for MgTlCl2 after structural relaxation.

Structure (POSCAR):
```
MgTlCl2
1.0
3.534 0.000 0.000
0.000 3.534 0.000
0.000 0.000 8.649
Mg Tl Cl
1 1 2
Direct
0.000 0.000 0.000
0.500 0.500 0.468
0.000 0.000 0.740
0.500 0.500 0.079
```

Properties
E_form (uncorrected) (eV/atom): -0.944
SG: P4mm
Electronic total energy (eV per atom): -3.03

=====

Density functional theory data (GGA-PBEsol) for MgTlCl2 after structural relaxation.

Structure (POSCAR):
```
MgTlCl2
1.0
3.047 -1.761 0.000
3.047 1.761 0.000
-1.927 0.000 10.275
Mg Tl Cl
1 1 2
Direct
0.000 0.000 0.000
0.500 0.500 0.500
0.377 0.377 0.138
0.623 0.623 0.862
```

Properties
E_form (uncorrected) (eV/atom): -1.250
SG: C2/m
Electronic total energy (eV per atom): -3.34

=====

Density functional theory data (GGA-PBEsol) for MgTlCl2 after structural relaxation.

Structure (POSCAR):
```
MgTlCl2
1.0
-2.084 2.084 5.881
2.084 -2.084 5.881
2.084 2.084 -5.881
Mg Tl Cl
1 1 2
Direct
0.000 0.000 0.000
0.750 0.250 0.500
0.250 0.750 0.500
0.500 0.500 0.000
```

Properties
E_form (uncorrected) (eV/atom): -0.691
SG: I-4m2
Electronic total energy (eV per atom): -2.78

=====

Density functional theory data (GGA-PBEsol) for MgTlCl3 after structural relaxation.

Structure (POSCAR):
```
MgTlCl3
1.0
6.977 0.000 0.000
0.000 9.887 0.000
0.000 0.000 6.933
Mg Tl Cl
4 4 12
Direct
0.000 0.000 0.000
0.000 0.500 0.000
0.500 0.000 0.500
0.500 0.500 0.500
0.039 0.250 0.493
0.461 0.750 0.993
0.539 0.250 0.007
0.961 0.750 0.507
0.002 0.750 0.049
0.216 0.525 0.716
0.216 0.975 0.716
0.284 0.025 0.216
0.284 0.475 0.216
0.498 0.250 0.549
0.502 0.750 0.451
0.716 0.525 0.784
0.716 0.975 0.784
0.784 0.025 0.284
0.784 0.475 0.284
0.998 0.250 0.951
```

Properties
E_form (uncorrected) (eV/atom): -1.486
SG: Pnma
Electronic total energy (eV per atom): -3.56

=====

Density functional theory data (GGA-PBEsol) for MgTlCl3 after structural relaxation.

Structure (POSCAR):
```
MgTlCl3
1.0
4.932 0.000 0.000
0.000 4.932 0.000
0.000 0.000 4.932
Mg Tl Cl
1 1 3
Direct
0.000 0.000 0.000
0.500 0.500 0.500
0.000 0.000 0.500
0.000 0.500 0.000
0.500 0.000 0.000
```

Properties
E_form (uncorrected) (eV/atom): -1.479
SG: Pm-3m
Electronic total energy (eV per atom): -3.55

=====

Density functional theory data (GGA-PBEsol) for Mg2WCl after structural relaxation.

Structure (POSCAR):
```
Mg2WCl
1.0
2.986 -4.183 0.000
2.986 4.183 0.000
0.000 0.000 2.844
Mg W Cl
2 1 1
Direct
0.000 0.500 0.000
0.500 0.000 0.000
0.000 0.000 0.500
0.500 0.500 0.500
```

Properties
E_form (uncorrected) (eV/atom): 0.314
SG: Cmmm
Electronic total energy (eV per atom): -4.50

=====

Density functional theory data (GGA-PBEsol) for MgWCl after structural relaxation.

Structure (POSCAR):
```
MgWCl
1.0
0.000 3.341 3.341
3.341 0.000 3.341
3.341 3.341 0.000
Mg W Cl
1 1 1
Direct
0.000 0.000 0.000
0.750 0.750 0.750
0.500 0.500 0.500
```

Properties
E_form (uncorrected) (eV/atom): 1.581
SG: F-43m
Electronic total energy (eV per atom): -4.26

=====

Density functional theory data (GGA-PBEsol) for MgW2Cl2 after structural relaxation.

Structure (POSCAR):
```
MgW2Cl2
1.0
-2.104 2.104 5.484
2.104 -2.104 5.484
2.104 2.104 -5.484
Mg W Cl
1 2 2
Direct
0.000 0.000 0.000
0.398 0.398 0.000
0.602 0.602 0.000
0.250 0.750 0.500
0.750 0.250 0.500
```

Properties
E_form (uncorrected) (eV/atom): 0.745
SG: I4/mmm
Electronic total energy (eV per atom): -5.92

=====

Density functional theory data (GGA-PBEsol) for Mg2WCl after structural relaxation.

Structure (POSCAR):
```
Mg2WCl
1.0
2.913 0.000 0.000
0.000 4.760 0.000
0.000 0.000 5.135
Mg W Cl
2 1 1
Direct
0.000 0.000 0.000
0.000 0.500 0.343
0.500 0.500 0.842
0.500 0.000 0.564
```

Properties
E_form (uncorrected) (eV/atom): 0.324
SG: Pmm2
Electronic total energy (eV per atom): -4.49

=====

Density functional theory data (GGA-PBEsol) for Mg2WCl after structural relaxation.

Structure (POSCAR):
```
Mg2WCl
1.0
-1.493 2.505 4.991
1.493 -2.505 4.991
1.493 2.505 -4.991
Mg W Cl
2 1 1
Direct
0.000 0.000 0.000
0.701 0.201 0.500
0.245 0.745 0.500
0.432 0.432 0.000
```

Properties
E_form (uncorrected) (eV/atom): 0.268
SG: Imm2
Electronic total energy (eV per atom): -4.54

=====

Density functional theory data (GGA-PBEsol) for Mg2WCl2 after structural relaxation.

Structure (POSCAR):
```
Mg2WCl2
1.0
-2.625 2.625 3.754
2.625 -2.625 3.754
2.625 2.625 -3.754
Mg W Cl
2 1 2
Direct
0.250 0.750 0.500
0.750 0.250 0.500
0.000 0.000 0.000
0.312 0.312 0.000
0.688 0.688 0.000
```

Properties
E_form (uncorrected) (eV/atom): 0.380
SG: I4/mmm
Electronic total energy (eV per atom): -3.87

=====

Density functional theory data (GGA-PBEsol) for YMg2Cl after structural relaxation.

Structure (POSCAR):
```
YMg2Cl
1.0
3.397 0.000 0.000
0.000 5.482 0.000
-1.373 0.000 5.280
Y Mg Cl
1 2 1
Direct
0.000 0.000 0.000
0.352 0.500 0.737
0.648 0.500 0.263
0.000 0.000 0.500
```

Properties
E_form (uncorrected) (eV/atom): -0.435
SG: P2/m
Electronic total energy (eV per atom): -3.50

=====

Density functional theory data (GGA-PBEsol) for YMgCl after structural relaxation.

Structure (POSCAR):
```
YMgCl
1.0
3.494 0.000 0.000
-1.747 3.026 0.000
0.000 0.000 7.045
Y Mg Cl
1 1 1
Direct
0.000 0.000 0.000
0.333 0.667 0.362
0.667 0.333 0.726
```

Properties
E_form (uncorrected) (eV/atom): -0.862
SG: P3m1
Electronic total energy (eV per atom): -4.38

=====

Density functional theory data (GGA-PBEsol) for MgZnCl2 after structural relaxation.

Structure (POSCAR):
```
MgZnCl2
1.0
3.069 -1.772 0.000
3.069 1.772 0.000
-2.089 0.000 9.292
Mg Zn Cl
1 1 2
Direct
0.000 0.000 0.000
0.500 0.500 0.500
0.282 0.282 0.849
0.718 0.718 0.151
```

Properties
E_form (uncorrected) (eV/atom): -1.086
SG: C2/m
Electronic total energy (eV per atom): -2.91

=====

Density functional theory data (GGA-PBEsol) for Mg2ZnCl after structural relaxation.

Structure (POSCAR):
```
Mg2ZnCl
1.0
5.529 -1.571 0.000
5.529 1.571 0.000
-0.165 0.000 4.698
Mg Zn Cl
2 1 1
Direct
0.000 0.000 0.000
0.736 0.736 0.518
0.468 0.468 0.493
0.227 0.227 0.964
```

Properties
E_form (uncorrected) (eV/atom): -0.360
SG: Cm
Electronic total energy (eV per atom): -2.12

=====

Density functional theory data (GGA-PBEsol) for Mg2ZnCl after structural relaxation.

Structure (POSCAR):
```
Mg2ZnCl
1.0
3.183 -3.899 0.000
3.183 3.899 0.000
-0.625 0.000 3.171
Mg Zn Cl
2 1 1
Direct
0.000 0.500 0.000
0.500 0.000 0.000
0.000 0.000 0.500
0.500 0.500 0.500
```

Properties
E_form (uncorrected) (eV/atom): -0.306
SG: C2/m
Electronic total energy (eV per atom): -2.06

=====

Density functional theory data (GGA-PBEsol) for MgZrCl after structural relaxation.

Structure (POSCAR):
```
MgZrCl
1.0
0.000 3.433 3.433
3.433 0.000 3.433
3.433 3.433 0.000
Mg Zr Cl
1 1 1
Direct
0.000 0.000 0.000
0.750 0.750 0.750
0.250 0.250 0.250
```

Properties
E_form (uncorrected) (eV/atom): 0.800
SG: F-43m
Electronic total energy (eV per atom): -3.47

=====

Density functional theory data (GGA-PBEsol) for MgZrCl2 after structural relaxation.

Structure (POSCAR):
```
MgZrCl2
1.0
3.254 0.000 0.000
0.000 4.407 0.000
-0.294 0.000 5.663
Mg Zr Cl
1 1 2
Direct
0.000 0.000 0.000
0.500 0.000 0.500
0.313 0.500 0.261
0.687 0.500 0.739
```

Properties
E_form (uncorrected) (eV/atom): -0.776
SG: P2/m
Electronic total energy (eV per atom): -4.48

=====

Density functional theory data (GGA-PBEsol) for Mg3ZrCl after structural relaxation.

Structure (POSCAR):
```
Mg3ZrCl
1.0
5.767 0.000 0.000
0.000 5.767 0.000
0.000 0.000 5.767
Mg Zr Cl
3 1 1
Direct
0.000 0.000 0.500
0.000 0.500 0.000
0.500 0.000 0.000
0.000 0.000 0.000
0.500 0.500 0.500
```

Properties
E_form (uncorrected) (eV/atom): 0.990
SG: Pm-3m
Electronic total energy (eV per atom): -2.26

=====

Density functional theory data (GGA-PBEsol) for MgZrCl2 after structural relaxation.

Structure (POSCAR):
```
MgZrCl2
1.0
1.671 0.965 8.376
-1.671 0.965 8.376
0.000 -1.929 8.376
Mg Zr Cl
1 1 2
Direct
0.000 0.000 0.000
0.500 0.500 0.500
0.393 0.393 0.393
0.607 0.607 0.607
```

Properties
E_form (uncorrected) (eV/atom): -0.803
SG: R-3m
Electronic total energy (eV per atom): -4.51

=====

Density functional theory data (GGA-PBEsol) for Mg2ZrCl after structural relaxation.

Structure (POSCAR):
```
Mg2ZrCl
1.0
2.818 -4.754 0.000
2.818 4.754 0.000
0.000 0.000 3.121
Mg Zr Cl
2 1 1
Direct
0.000 0.500 0.000
0.500 0.000 0.000
0.000 0.000 0.500
0.500 0.500 0.500
```

Properties
E_form (uncorrected) (eV/atom): -0.196
SG: Cmmm
Electronic total energy (eV per atom): -3.83

=====

Density functional theory data (GGA-PBEsol) for MgZrCl2 after structural relaxation.

Structure (POSCAR):
```
MgZrCl2
1.0
3.057 -3.959 0.000
3.057 3.959 0.000
0.000 0.000 3.116
Mg Zr Cl
1 1 2
Direct
0.000 0.000 0.000
0.500 0.500 0.000
0.000 0.500 0.500
0.500 0.000 0.500
```

Properties
E_form (uncorrected) (eV/atom): -0.444
SG: Cmmm
Electronic total energy (eV per atom): -4.15

=====

Density functional theory data (GGA-PBEsol) for MgZrCl2 after structural relaxation.

Structure (POSCAR):
```
MgZrCl2
1.0
3.125 0.000 0.000
0.000 4.303 0.000
0.000 0.000 5.885
Mg Zr Cl
1 1 2
Direct
0.000 0.000 0.000
0.500 0.000 0.500
0.000 0.500 0.500
0.500 0.500 0.000
```

Properties
E_form (uncorrected) (eV/atom): -0.708
SG: Pmmm
Electronic total energy (eV per atom): -4.41

=====

Density functional theory data (GGA-PBEsol) for MgZrCl after structural relaxation.

Structure (POSCAR):
```
MgZrCl
1.0
0.000 2.478 6.885
1.892 0.000 6.885
1.892 2.478 0.000
Mg Zr Cl
1 1 1
Direct
0.000 0.000 0.000
0.335 0.335 0.665
0.702 0.702 0.298
```

Properties
E_form (uncorrected) (eV/atom): -0.546
SG: Fmm2
Electronic total energy (eV per atom): -4.82

=====

Density functional theory data (GGA-PBEsol) for Mg2ZrCl after structural relaxation.

Structure (POSCAR):
```
Mg2ZrCl
1.0
0.000 3.465 3.465
3.465 0.000 3.465
3.465 3.465 0.000
Mg Zr Cl
2 1 1
Direct
0.000 0.000 0.000
0.250 0.250 0.250
0.500 0.500 0.500
0.750 0.750 0.750
```

Properties
E_form (uncorrected) (eV/atom): 0.139
SG: F-43m
Electronic total energy (eV per atom): -3.49